The following is a DFT calculation (PBE) of a relaxed LiWCl2 crystal.

Formation energy (no corrections) in eV/atom: 0.22
Excess energy over the best structure of this formula in the dataset in meV/atom: 661.2
Crystal system: tetragonal

Geometry as CIF:
```
data_LiWCl2
_chemical_formula_sum 'Li4 W4 Cl8'
_cell_length_a 5.802
_cell_length_b 5.802
_cell_length_c 9.133
_cell_angle_alpha 90.00
_cell_angle_beta 90.00
_cell_angle_gamma 90.00
_symmetry_space_group_name_H-M 'I -4 2 d'
_symmetry_Int_Tables_number 122
_symmetry_space_group_name_Hall 'I -4 2bw'
loop_
_atom_site_label
_atom_site_type_symbol
_atom_site_fract_x
_atom_site_fract_y
_atom_site_fract_z
Li1 Li 0.000 0.000 0.000
W1 W 0.000 0.000 0.500
Cl1 Cl 0.232 0.250 0.125
```



The following is a DFT calculation (PBE) of a relaxed Li3WCl crystal.

Formation energy (no corrections) in eV/atom: 0.52
Excess energy over the best structure of this formula in the dataset in meV/atom: 0.0
Crystal system: cubic

Geometry as CIF:
```
data_Li3WCl
_chemical_formula_sum 'Li3 W1 Cl1'
_cell_length_a 4.528
_cell_length_b 4.528
_cell_length_c 4.528
_cell_angle_alpha 90.00
_cell_angle_beta 90.00
_cell_angle_gamma 90.00
_symmetry_space_group_name_H-M 'P m -3 m'
_symmetry_Int_Tables_number 221
_symmetry_space_group_name_Hall '-P 4 2 3'
loop_
_atom_site_label
_atom_site_type_symbol
_atom_site_fract_x
_atom_site_fract_y
_atom_site_fract_z
Li1 Li 0.000 0.000 0.500
W1 W 0.500 0.500 0.500
Cl1 Cl 0.000 0.000 0.000
```



The following is a DFT calculation (PBE) of a relaxed Li2WCl crystal.

Formation energy (no corrections) in eV/atom: 0.17
Excess energy over the best structure of this formula in the dataset in meV/atom: 376.8
Crystal system: tetragonal

Geometry as CIF:
```
data_Li2WCl
_chemical_formula_sum 'Li2 W1 Cl1'
_cell_length_a 2.926
_cell_length_b 2.926
_cell_length_c 8.558
_cell_angle_alpha 90.00
_cell_angle_beta 90.00
_cell_angle_gamma 90.00
_symmetry_space_group_name_H-M 'P 4 m m'
_symmetry_Int_Tables_number 99
loop_
_symmetry_equiv_pos_as_xyz
'x,y,z'
'-y,x,z'
'-x,-y,z'
'y,-x,z'
'-x,y,z'
'y,x,z'
'x,-y,z'
'-y,-x,z'
loop_
_atom_site_label
_atom_site_type_symbol
_atom_site_fract_x
_atom_site_fract_y
_atom_site_fract_z
Li1 Li 0.000 0.000 0.000
Li2 Li 0.500 0.500 0.206
W1 W 0.000 0.000 0.426
Cl1 Cl 0.500 0.500 0.914
```



The following is a DFT calculation (PBE) of a relaxed Li2WCl crystal.

Formation energy (no corrections) in eV/atom: 0.31
Excess energy over the best structure of this formula in the dataset in meV/atom: 521.7
Crystal system: orthorhombic

Geometry as CIF:
```
data_Li2WCl
_chemical_formula_sum 'Li4 W2 Cl2'
_cell_length_a 4.835
_cell_length_b 9.167
_cell_length_c 2.796
_cell_angle_alpha 90.00
_cell_angle_beta 90.00
_cell_angle_gamma 90.00
_symmetry_space_group_name_H-M 'C m m m'
_symmetry_Int_Tables_number 65
_symmetry_space_group_name_Hall '-C 2 2'
loop_
_atom_site_label
_atom_site_type_symbol
_atom_site_fract_x
_atom_site_fract_y
_atom_site_fract_z
Li1 Li 0.250 0.250 0.000
W1 W 0.000 0.000 0.500
Cl1 Cl 0.000 0.500 0.500
```



The following is a DFT calculation (PBE) of a relaxed LiWCl2 crystal.

Formation energy (no corrections) in eV/atom: 0.17
Excess energy over the best structure of this formula in the dataset in meV/atom: 611.2
Crystal system: orthorhombic

Geometry as CIF:
```
data_LiWCl2
_chemical_formula_sum 'Li2 W2 Cl4'
_cell_length_a 2.933
_cell_length_b 4.057
_cell_length_c 11.894
_cell_angle_alpha 90.00
_cell_angle_beta 90.00
_cell_angle_gamma 90.00
_symmetry_space_group_name_H-M 'I m m 2'
_symmetry_Int_Tables_number 44
loop_
_symmetry_equiv_pos_as_xyz
'x,y,z'
'-x,-y,z'
'-x,y,z'
'x,-y,z'
'x+1/2,y+1/2,z+1/2'
'-x+1/2,-y+1/2,z+1/2'
'-x+1/2,y+1/2,z+1/2'
'x+1/2,-y+1/2,z+1/2'
loop_
_atom_site_label
_atom_site_type_symbol
_atom_site_fract_x
_atom_site_fract_y
_atom_site_fract_z
Li1 Li 0.000 0.000 0.000
W1 W 0.000 0.500 0.271
Cl1 Cl 0.000 0.000 0.583
Cl2 Cl 0.000 0.500 0.811
```



The following is a DFT calculation (PBE) of a relaxed LiWCl2 crystal.

Formation energy (no corrections) in eV/atom: 0.38
Excess energy over the best structure of this formula in the dataset in meV/atom: 822.5
Crystal system: cubic

Geometry as CIF:
```
data_LiWCl2
_chemical_formula_sum 'Li4 W4 Cl8'
_cell_length_a 6.206
_cell_length_b 6.206
_cell_length_c 6.206
_cell_angle_alpha 90.00
_cell_angle_beta 90.00
_cell_angle_gamma 90.00
_symmetry_space_group_name_H-M 'F m -3 m'
_symmetry_Int_Tables_number 225
_symmetry_space_group_name_Hall '-F 4 2 3'
loop_
_atom_site_label
_atom_site_type_symbol
_atom_site_fract_x
_atom_site_fract_y
_atom_site_fract_z
Li1 Li 0.000 0.000 0.000
W1 W 0.000 0.000 0.500
Cl1 Cl 0.250 0.250 0.250
```



The following is a DFT calculation (PBE) of a relaxed Li2WCl crystal.

Formation energy (no corrections) in eV/atom: 0.23
Excess energy over the best structure of this formula in the dataset in meV/atom: 439.6
Crystal system: orthorhombic

Geometry as CIF:
```
data_Li2WCl
_chemical_formula_sum 'Li4 W2 Cl2'
_cell_length_a 3.013
_cell_length_b 4.975
_cell_length_c 8.962
_cell_angle_alpha 90.00
_cell_angle_beta 90.00
_cell_angle_gamma 90.00
_symmetry_space_group_name_H-M 'C m m 2'
_symmetry_Int_Tables_number 35
loop_
_symmetry_equiv_pos_as_xyz
'x,y,z'
'-x,-y,z'
'-x,y,z'
'x,-y,z'
'x+1/2,y+1/2,z'
'-x+1/2,-y+1/2,z'
'-x+1/2,y+1/2,z'
'x+1/2,-y+1/2,z'
loop_
_atom_site_label
_atom_site_type_symbol
_atom_site_fract_x
_atom_site_fract_y
_atom_site_fract_z
Li1 Li 0.000 0.000 0.000
Li2 Li 0.000 0.500 0.291
W1 W 0.000 0.500 0.734
Cl1 Cl 0.000 0.000 0.494
```



The following is a DFT calculation (PBE) of a relaxed LiWCl2 crystal.

Formation energy (no corrections) in eV/atom: 0.27
Excess energy over the best structure of this formula in the dataset in meV/atom: 712.8
Crystal system: tetragonal

Geometry as CIF:
```
data_LiWCl2
_chemical_formula_sum 'Li2 W2 Cl4'
_cell_length_a 3.547
_cell_length_b 3.547
_cell_length_c 14.244
_cell_angle_alpha 90.00
_cell_angle_beta 90.00
_cell_angle_gamma 90.00
_symmetry_space_group_name_H-M 'I -4 m 2'
_symmetry_Int_Tables_number 119
_symmetry_space_group_name_Hall 'I -4 -2'
loop_
_atom_site_label
_atom_site_type_symbol
_atom_site_fract_x
_atom_site_fract_y
_atom_site_fract_z
Li1 Li 0.000 0.000 0.000
W1 W 0.000 0.500 0.750
Cl1 Cl 0.000 0.000 0.500
Cl2 Cl 0.000 0.500 0.250
```